The following is a PBE calculation of an optimized crystal structure of TlIn2Ga3, from Alexandria.

The structure in POSCAR format:
```
TlIn2Ga3
1.0
5.989 0.000 2.476
2.747 6.905 1.837
0.345 0.118 7.646
In Ga Tl
4 6 2
Direct
0.290 0.921 0.921 In
0.369 0.421 0.421 In
0.631 0.579 0.579 In
0.710 0.079 0.079 In
0.500 0.228 0.772 Ga
0.500 0.000 0.500 Ga
0.000 0.728 0.272 Ga
0.500 0.500 0.000 Ga
0.500 0.772 0.228 Ga
0.000 0.272 0.728 Ga
0.964 0.750 0.750 Tl
0.036 0.250 0.250 Tl
```

## Properties
Volume: 25.82 Å³/atom
M_tot: 0.0 μB per cell
E: -2.700 eV/atom

***

The following is a PBE calculation of an optimized crystal structure of LiSmErSn, from Alexandria.

The structure in POSCAR format:
```
LiSmErSn
1.0
-3.997 2.210 -2.579
-1.766 -2.155 -4.444
-4.685 -2.356 -0.091
Sn Er Li Sm
1 1 1 1
Direct
0.250 0.250 0.250 Sn
0.000 0.000 0.000 Er
0.750 0.750 0.750 Li
0.500 0.500 0.500 Sm
```

## Properties
Volume: 25.50 Å³/atom
M_tot: 0.0 μB per cell
E: -4.212 eV/atom

***

The following is a PBE calculation of an optimized crystal structure of CsMn2Tc, from Alexandria.

The structure in POSCAR format:
```
CsMn2Tc
1.0
4.870 -0.629 -0.480
2.771 -0.934 3.974
1.984 -4.474 0.628
Mn Tc Cs
2 1 1
Direct
0.750 0.750 0.750 Mn
0.250 0.250 0.250 Mn
0.000 0.000 0.000 Tc
0.500 0.500 0.500 Cs
```

## Properties
Volume: 21.23 Å³/atom
M_tot: 5.8 μB per cell
E: -5.679 eV/atom